Entry 1:
Below is a relaxed Sm2MgNi9 crystal, with properties calculated at the GGA-PBE level.

Cell lengths 8.6177, 8.6177, 8.6177 Å; angles 33.24, 33.24, 33.24 degrees
Last column: nearest neighbours and their distance in Å.
Fractional positions:
Sm (0.1358, 0.1358, 0.1358)  9 Ni 2.81-2.94
Sm (0.8642, 0.8642, 0.8642)  9 Ni 2.81-2.94
Ni (0.5804, 0.0801, 0.5804)  7 Ni 2.41-2.54
Ni (0.4196, 0.4196, 0.9199)  7 Ni 2.41-2.54
Ni (0.6672, 0.6672, 0.6672)  6 Ni 2.41-2.43
Ni (0.5804, 0.5804, 0.0801)  7 Ni 2.41-2.54
Ni (0.9199, 0.4196, 0.4196)  7 Ni 2.41-2.54
Ni (0.0801, 0.5804, 0.5804)  7 Ni 2.41-2.54
Ni (0.3328, 0.3328, 0.3328)  6 Ni 2.41-2.43
Ni (0.4196, 0.9199, 0.4196)  7 Ni 2.41-2.54
Ni (0.5000, 0.5000, 0.5000)  6 Ni 2.54
Mg (0.0000, 0.0000, 0.0000)  18 Ni 2.85-3.15

The calculation puts the electronic total energy at -5.3375 eV per atom. Its space group is R-3m (166). For the magnetization, the calculation gives 1.75 μB/cell.

Entry 2:
Below is a relaxed Nb4CdPbN2 crystal, with properties calculated at the GGA-PBE level.

Cell lengths 3.2451, 3.2451, 14.1587 Å; angles 90.00, 90.00, 120.00 degrees
Last column: nearest neighbours and their distance in Å.
Fractional positions:
Nb (0.3333, 0.6667, 0.1715)  3 N 2.19
Nb (0.6667, 0.3333, 0.3294)  3 N 2.17
Nb (0.3333, 0.6667, 0.8285)  3 N 2.19
Nb (0.6667, 0.3333, 0.6706)  3 N 2.17
N (0.0000, 0.0000, 0.2518)  6 Nb 2.17-2.19
N (0.0000, 0.0000, 0.7482)  6 Nb 2.17-2.19
Pb (0.6667, 0.3333, 0.0000)  6 Nb 3.07, 6 Pb 3.25
Cd (0.3333, 0.6667, 0.5000)  6 Nb 3.06, 6 Cd 3.25

The calculation puts the electronic total energy at -8.1102 eV per atom. Its space group is P-6m2 (187). For the magnetization, the calculation gives 0.00 μB/cell.

Entry 3:
Below is a relaxed NbAlNO crystal, with properties calculated at the GGA-PBE level.

Cell lengths 3.2118, 4.5117, 6.2913 Å; angles 90.00, 90.00, 90.00 degrees
Last column: nearest neighbours and their distance in Å.
Fractional positions:
Al (0.5000, 0.9896, 0.1586)  2 O 1.80-1.84, 2 N 1.82
Al (0.5000, 0.4896, 0.8414)  2 O 1.80-1.84, 2 N 1.82
Nb (0.0000, 0.9438, 0.6270)  3 N 2.15-2.40, 2 O 2.28
Nb (0.0000, 0.4438, 0.3730)  3 N 2.15-2.40, 2 O 2.28
O (0.5000, 0.8948, 0.8812)  2 Al 1.80-1.84
O (0.5000, 0.3948, 0.1188)  2 Al 1.80-1.84
N (0.0000, 0.9258, 0.2855)  2 Al 1.82
N (0.0000, 0.4258, 0.7145)  2 Al 1.82

The calculation puts the electronic total energy at -8.2500 eV per atom. Its space group is Pmc2_1 (26). For the magnetization, the calculation gives 0.00 μB/cell.

Entry 4:
Below is a relaxed ReTe2Se3 crystal, with properties calculated at the GGA-PBE level.

Cell lengths 6.8226, 7.2343, 8.0118 Å; angles 63.17, 89.88, 71.91 degrees
Last column: nearest neighbours and their distance in Å.
Fractional positions:
Se (0.2682, 0.4571, 0.1839)  1 Re 2.52, 1 Te 2.80
Se (0.2502, 0.0061, 0.6332)  2 Re 2.46
Se (0.7498, 0.9939, 0.3668)  2 Re 2.46
Se (0.2706, 0.9956, 0.1814)  1 Re 2.52, 2 Te 2.79-2.82
Se (0.7318, 0.5429, 0.8161)  1 Re 2.52, 1 Te 2.80
Se (0.7294, 0.0044, 0.8186)  1 Re 2.52, 2 Te 2.79-2.82
Te (0.7353, 0.4779, 0.4047)  2 Re 2.82, 1 Te 2.95
Te (0.2647, 0.5221, 0.5953)  2 Re 2.82, 1 Te 2.95
Te (0.4974, 0.7415, 0.0167)  5 Se 2.79-2.94, 1 Te 2.95
Te (0.5026, 0.2585, 0.9833)  5 Se 2.79-2.94, 1 Te 2.95
Re (0.5005, 0.8035, 0.4996)  4 Se 2.46-2.52
Re (0.4995, 0.1965, 0.5004)  4 Se 2.46-2.52

The calculation puts the electronic total energy at -4.9190 eV per atom. Its space group is P-1 (2). For the magnetization, the calculation gives 0.00 μB/cell.

Entry 5:
Below is a relaxed LiLuZn2 crystal, with properties calculated at the GGA-PBE level.

Cell lengths 4.5489, 4.5489, 4.5489 Å; angles 60.00, 60.00, 60.00 degrees
Last column: nearest neighbours and their distance in Å.
Fractional positions:
Li (0.5000, 0.5000, 0.5000)  4 Zn 2.79, 4 Lu 2.79
Lu (0.2500, 0.2500, 0.2500)  4 Li 2.79, 4 Zn 2.79
Zn (0.0000, 0.0000, 0.0000)  4 Lu 2.79, 4 Zn 2.79
Zn (0.7500, 0.7500, 0.7500)  4 Li 2.79, 4 Zn 2.79

The calculation puts the electronic total energy at -2.4626 eV per atom. Its space group is F-43m (216). For the magnetization, the calculation gives 0.00 μB/cell.

Entry 6:
Below is a relaxed AcZrCu crystal, with properties calculated at the GGA-PBE level.

Cell lengths 4.8324, 4.8324, 4.8324 Å; angles 60.00, 60.00, 60.00 degrees
Last column: nearest neighbours and their distance in Å.
Fractional positions:
Zr (0.0000, 0.0000, 0.0000)  4 Cu 2.96, 4 Ac 2.96
Cu (0.7500, 0.7500, 0.7500)  4 Zr 2.96
Ac (0.2500, 0.2500, 0.2500)  4 Zr 2.96

Its space group is F-43m (216). For the magnetization, the calculation gives 0.00 μB/cell. The formation enthalpy at 0 K comes out at 822 meV per atom.